This record from Alexandria describes crystalline Hf2ZrRe at its relaxed geometry. The functional is PBE-GGA.

Energy above the most stable polymorph in this dataset   0 meV/atom
SG   P4/mmm
Energy relative to the elements   -16.5 kJ/mol of atoms
Density   13.048 g/cm³
Energy   -41.6 eV/cell

a b c (Å): 3.305 3.305 7.389
angles (deg): 90.00 90.00 90.00
Positions (direct):
Hf (0.000, 0.000, 0.213)
Hf (0.000, 0.000, 0.787)
Zr (0.500, 0.500, 0.500)
Re (0.500, 0.500, 0.000)